(1)
KLa2Nb2 | PBE | optimized geometry

Lattice parameters (Å, degrees): 9.4782 9.4782 3.4455 90.00 90.00 90.00
Closest atoms and distances in Å follow each position.
Sites, in units of the cell vectors:
K 0.0000 0.0000 0.0000  2 K 3.45, 8 La 3.83
K 0.5000 0.5000 0.0000  2 K 3.45, 8 La 3.83
La 0.1968 0.3032 0.5000  6 Nb 3.34-3.37, 2 La 3.45
La 0.3032 0.8032 0.5000  6 Nb 3.34-3.37, 2 La 3.45
La 0.6968 0.1968 0.5000  6 Nb 3.34-3.37, 2 La 3.45
La 0.8032 0.6968 0.5000  6 Nb 3.34-3.37, 2 La 3.45
Nb 0.0897 0.5897 0.0000  1 Nb 2.41
Nb 0.4103 0.0897 0.0000  1 Nb 2.41
Nb 0.5897 0.9103 0.0000  1 Nb 2.41
Nb 0.9103 0.4103 0.0000  1 Nb 2.41

## Properties
Energy of formation in eV/f.u.: 3.207


(2)
KLa2Nb | PBE | optimized geometry

Lattice parameters (Å, degrees): 5.6676 5.6676 5.6676 60.00 60.00 60.00
Closest atoms and distances in Å follow each position.
Sites, in units of the cell vectors:
K 0.0000 0.0000 0.0000  8 La 3.47
La 0.2500 0.2500 0.2500  4 Nb 3.47, 4 K 3.47
La 0.7500 0.7500 0.7500  4 K 3.47, 4 Nb 3.47
Nb 0.5000 0.5000 0.5000  8 La 3.47

## Properties
Energy of formation in eV/f.u.: 3.047


(3)
KLa3Nb | PBE | optimized geometry

Lattice parameters (Å, degrees): 5.4579 5.4579 5.4579 90.00 90.00 90.00
Closest atoms and distances in Å follow each position.
Sites, in units of the cell vectors:
K 0.0000 0.0000 0.0000  6 La 2.73
La 0.0000 0.0000 0.5000  2 K 2.73
La 0.0000 0.5000 0.0000  2 K 2.73
La 0.5000 0.0000 0.0000  2 K 2.73
Nb 0.5000 0.5000 0.5000  12 La 3.86

## Properties
Energy of formation in eV/f.u.: 8.021


(4)
KLa3Nb | PBE | optimized geometry

Lattice parameters (Å, degrees): 5.8252 5.8252 5.8252 90.00 90.00 90.00
Closest atoms and distances in Å follow each position.
Sites, in units of the cell vectors:
K 0.0000 0.0000 0.0000  12 La 4.12
La 0.0000 0.5000 0.5000  2 Nb 2.91
La 0.5000 0.0000 0.5000  2 Nb 2.91
La 0.5000 0.5000 0.0000  2 Nb 2.91
Nb 0.5000 0.5000 0.5000  6 La 2.91

## Properties
Energy of formation in eV/f.u.: 2.072


(5)
KLa2Nb2 | PBE | optimized geometry

Lattice parameters (Å, degrees): 6.2498 6.2498 6.2498 123.24 123.24 84.47
Closest atoms and distances in Å follow each position.
Sites, in units of the cell vectors:
K 0.0000 0.0000 0.0000  2 Nb 3.47, 8 La 3.77
La 0.2500 0.7500 0.5000  4 Nb 3.19
La 0.7500 0.2500 0.5000  4 Nb 3.19
Nb 0.3754 0.3754 0.0000  1 Nb 2.31
Nb 0.6246 0.6246 0.0000  1 Nb 2.31

## Properties
Energy of formation in eV/f.u.: 4.724


(6)
KLaNb2O6 | PBE | optimized geometry

Lattice parameters (Å, degrees): 5.7639 5.7639 5.7639 60.00 60.00 60.00
Closest atoms and distances in Å follow each position.
Sites, in units of the cell vectors:
K 0.0000 0.0000 0.0000  12 O 2.88
La 0.5000 0.5000 0.5000  12 O 2.88
Nb 0.2500 0.2500 0.2500  6 O 2.04
Nb 0.7500 0.7500 0.7500  6 O 2.04
O 0.0000 0.0000 0.5000  2 Nb 2.04
O 0.0000 0.5000 0.0000  2 Nb 2.04
O 0.0000 0.5000 0.5000  2 Nb 2.04
O 0.5000 0.0000 0.0000  2 Nb 2.04
O 0.5000 0.0000 0.5000  2 Nb 2.04
O 0.5000 0.5000 0.0000  2 Nb 2.04

## Properties
Electronic total energy in eV/atom: -8.2379


(7)
K2LaNb2O7 | PBE | optimized geometry

Lattice parameters (Å, degrees): 11.3310 11.3310 11.3310 159.36 159.36 29.35
Closest atoms and distances in Å follow each position.
Sites, in units of the cell vectors:
K 0.1918 0.1918 0.0000  5 O 2.76-2.88
K 0.8082 0.8082 0.0000  5 O 2.76-2.88
La 0.0000 0.0000 0.0000  12 O 2.72-2.87
Nb 0.4033 0.4033 0.0000  5 O 1.88-2.05
Nb 0.5967 0.5967 0.0000  5 O 1.88-2.05
O 0.0823 0.5823 0.5000  2 Nb 2.05
O 0.3176 0.3176 0.0000  1 Nb 1.88
O 0.4177 0.9177 0.5000  2 Nb 2.05
O 0.5000 0.5000 0.0000  2 Nb 2.12
O 0.5823 0.0823 0.5000  2 Nb 2.05
O 0.6824 0.6824 0.0000  1 Nb 1.88
O 0.9177 0.4177 0.5000  2 Nb 2.05

## Properties
Electronic total energy in eV/atom: -7.7907


(8)
KLaNb4O12 | PBE | optimized geometry

Lattice parameters (Å, degrees): 7.9377 5.7295 5.7295 87.93 90.00 90.00
Closest atoms and distances in Å follow each position.
Sites, in units of the cell vectors:
K 0.0000 0.0000 0.0000  10 O 2.72-3.01
La 0.5000 0.5236 0.5236  4 O 2.43-2.60
Nb 0.2482 0.0131 0.5113  5 O 1.86-2.03
Nb 0.2482 0.5113 0.0131  5 O 1.86-2.03
Nb 0.7518 0.0131 0.5113  5 O 1.86-2.03
Nb 0.7518 0.5113 0.0131  5 O 1.86-2.03
O 0.0000 0.0061 0.4742  2 Nb 1.98
O 0.0000 0.4742 0.0061  2 Nb 1.98
O 0.2442 0.7200 0.7200  2 Nb 2.03
O 0.2626 0.2322 0.7423  1 Nb 1.86
O 0.2626 0.7423 0.2322  1 Nb 1.86
O 0.2856 0.2581 0.2581  2 Nb 2.00
O 0.5000 0.5024 0.9479  2 Nb 2.03
O 0.5000 0.9479 0.5024  2 Nb 2.03
O 0.7144 0.2581 0.2581  2 Nb 2.00
O 0.7374 0.2322 0.7423  1 Nb 1.86
O 0.7374 0.7423 0.2322  1 Nb 1.86
O 0.7558 0.7200 0.7200  2 Nb 2.03

## Properties
Electronic total energy in eV/atom: -8.5380


no.,density of states at the Fermi level (states/eV/atom)
1,1.2338
2,1.2313
3,1.7837
4,1.1195
5,1.5017
6,0.2574
7,0.0573
8,0.0000